Computed, not measured: a relaxed structure of YPt2Au2 at the PBE-GGA level of DFT.

As for the formation enthalpy at 0 K: -509.0 meV/atom.

The structure belongs to space group P4/nmm (No. 129, origin choice 2); the cell edges are 3.9713, 3.9713 and 12.6061 Å and the angles 90.00°, 90.00° and 90.00°. The asymmetric unit holds Y at (0.2500, 0.2500, 0.2482), Pt at (0.2500, 0.2500, 0.8491), Pt at (0.2500, 0.7500, 0.5000), Au at (0.2500, 0.2500, 0.6465) and Au at (0.2500, 0.7500, 0.0000).

Computed, not measured: a relaxed structure of Na2LiReO6 at the PBE-GGA level of DFT.

The electronic total energy is -5.126 eV/atom.

The structure belongs to space group P4/mmm (No. 123); the cell edges are 3.4245, 3.4245 and 9.6521 Å and the angles 90.00°, 90.00° and 90.00°. The asymmetric unit holds Na at (0.0000, 0.0000, 0.2183), Li at (0.5000, 0.5000, 0.0000), Re at (0.5000, 0.5000, 0.5000), O at (0.0000, 0.0000, 0.0000), O at (0.0000, 0.0000, 0.5000) and O at (0.0000, 0.5000, 0.3680).

Computed, not measured: a relaxed structure of NdPIrO at the PBE-GGA level of DFT.

The calculation puts the energy above the most stable polymorph in this dataset at 1 meV/atom.

The structure belongs to space group P4mm (No. 99); the cell edges are 4.0001, 4.0001 and 8.3685 Å and the angles 90.00°, 90.00° and 90.00°. The asymmetric unit holds Nd at (0.0000, 0.0000, 0.0000), Nd at (0.5000, 0.5000, 0.2866), P at (0.0000, 0.0000, 0.4901), P at (0.5000, 0.5000, 0.8000), Ir at (0.0000, 0.5000, 0.6450) and O at (0.0000, 0.5000, 0.1434).

Computed, not measured: a relaxed structure of Nb2MoW at the PBE-GGA level of DFT.

As for the formation enthalpy at 0 K: -67.7 meV/atom.

The structure belongs to space group F-43m (No. 216); the cell edges are 6.4687, 6.4687 and 6.4687 Å and the angles 90.00°, 90.00° and 90.00°. The asymmetric unit holds Nb at (0.0000, 0.0000, 0.0000), Nb at (0.2500, 0.2500, 0.2500), Mo at (0.0000, 0.0000, 0.5000) and W at (0.2500, 0.2500, 0.7500).

Computed, not measured: a relaxed structure of LiTc5Mo2 at the PBE-GGA level of DFT.

The electronic total energy is -8.556 eV/atom.

The structure belongs to space group P4/mmm (No. 123); the cell edges are 5.5369, 5.5369 and 4.0702 Å and the angles 90.00°, 90.00° and 90.00°. The asymmetric unit holds Li at (0.0000, 0.0000, 0.0000), Tc at (0.0000, 0.0000, 0.5000), Tc at (0.2820, 0.2820, 0.0000) and Mo at (0.0000, 0.5000, 0.5000).

Computed, not measured: a relaxed structure of MoPd13 at the PBE-GGA level of DFT.

As for the formation enthalpy at 0 K: 20.6 meV/atom.

The structure belongs to space group C2/m (No. 12); the cell edges are 10.9591, 7.6632 and 5.2934 Å and the angles 90.00°, 101.43° and 90.00°. The asymmetric unit holds Mo at (0.0000, 0.0000, 0.0000), Pd at (0.0000, 0.0000, 0.5000), Pd at (0.0802, 0.2997, 0.8197), Pd at (0.1099, 0.5000, 0.4189), Pd at (0.1773, 0.1762, 0.3003) and Pd at (0.2233, 0.0000, 0.8702).

Computed, not measured: a relaxed structure of LaNiP2Pd at the PBE-GGA level of DFT.

The electronic total energy is -6.336 eV/atom.

The structure belongs to space group P4/nmm (No. 129, origin choice 2); the cell edges are 4.2100, 4.2100 and 9.4024 Å and the angles 90.00°, 90.00° and 90.00°. The asymmetric unit holds La at (0.2500, 0.2500, 0.2382), Ni at (0.2500, 0.2500, 0.8939), P at (0.2500, 0.2500, 0.6470), P at (0.2500, 0.7500, 0.0000) and Pd at (0.2500, 0.7500, 0.5000).

Computed, not measured: a relaxed structure of YCuTcAs at the PBE-GGA level of DFT.

The calculation puts the energy above the most stable polymorph in this dataset at 228 meV/atom.

The structure belongs to space group F-43m (No. 216); the cell edges are 6.5991, 6.5991 and 6.5991 Å and the angles 90.00°, 90.00° and 90.00°. The asymmetric unit holds Y at (0.0000, 0.0000, 0.0000), Cu at (0.0000, 0.0000, 0.5000), Tc at (0.2500, 0.2500, 0.7500) and As at (0.2500, 0.2500, 0.2500).

Computed, not measured: a relaxed structure of Er3Mg3GaAu2 at the PBE-GGA level of DFT.

The electronic total energy is -3.696 eV/atom.

The structure belongs to space group P-62m (No. 189); the cell edges are 7.6474, 7.6474 and 3.9873 Å and the angles 90.00°, 90.00° and 120.00°. The asymmetric unit holds Er at (0.0000, 0.4099, 0.0000), Mg at (0.0000, 0.7497, 0.5000), Ga at (0.0000, 0.0000, 0.0000) and Au at (0.3333, 0.6667, 0.5000).

Computed, not measured: a relaxed structure of ErPuAl at the PBE-GGA level of DFT.

The calculation puts the energy above the most stable polymorph in this dataset at 0 meV/atom.

The structure belongs to space group F-43m (No. 216); the cell edges are 6.9647, 6.9647 and 6.9647 Å and the angles 90.00°, 90.00° and 90.00°. The asymmetric unit holds Er at (0.0000, 0.0000, 0.0000), Pu at (0.2500, 0.2500, 0.2500) and Al at (0.2500, 0.2500, 0.7500).

Computed, not measured: a relaxed structure of CsNdAg3S4 at the PBE-GGA level of DFT.

The electronic total energy is -3.960 eV/atom.

The structure belongs to space group P-43m (No. 215); the cell edges are 6.6735, 6.6735 and 6.6735 Å and the angles 90.00°, 90.00° and 90.00°. The asymmetric unit holds Cs at (0.0000, 0.0000, 0.0000), Nd at (0.5000, 0.5000, 0.5000), Ag at (0.0000, 0.5000, 0.5000) and S at (0.2748, 0.2748, 0.2748).

Computed, not measured: a relaxed structure of Sr3Zn2Ge4 at the PBE-GGA level of DFT.

The electronic total energy is -3.423 eV/atom.

The structure belongs to space group C2/m (No. 12); the cell edges are 11.9005, 4.3540 and 8.7514 Å and the angles 90.00°, 96.76° and 90.00°. The asymmetric unit holds Sr at (0.0000, 0.0000, 0.0000), Sr at (0.1613, 0.5000, 0.6706), Zn at (0.1161, 0.5000, 0.2878), Ge at (0.0608, 0.0000, 0.3887) and Ge at (0.2087, 0.5000, 0.0482).

Computed, not measured: a relaxed structure of Tm2SnGeAs4 at the PBE-GGA level of DFT.

The electronic total energy is -4.901 eV/atom.

The structure belongs to space group I-4 (No. 82); the cell edges are 6.3210, 6.3210 and 12.4875 Å and the angles 90.00°, 90.00° and 90.00°. The asymmetric unit holds Tm at (0.0000, 0.0000, 0.0000), Tm at (0.0000, 0.5000, 0.2500), Sn at (0.0000, 0.5000, 0.7500), Ge at (0.0000, 0.0000, 0.5000) and As at (0.2354, 0.2460, 0.6221).

Computed, not measured: a relaxed structure of Dy3BiAs2 at the PBE-GGA level of DFT.

The electronic total energy is -5.823 eV/atom.

The structure belongs to space group P-3m1 (No. 164); the cell edges are 4.1851, 4.1851 and 10.5407 Å and the angles 90.00°, 90.00° and 120.00°. The asymmetric unit holds Dy at (0.0000, 0.0000, 0.0000), Dy at (0.3333, 0.6667, 0.6904), Bi at (0.0000, 0.0000, 0.5000) and As at (0.3333, 0.6667, 0.1579).

Computed, not measured: a relaxed structure of KGePd at the PBE-GGA level of DFT.

The calculation puts the energy above the most stable polymorph in this dataset at 664 meV/atom.

The structure belongs to space group F-43m (No. 216); the cell edges are 6.9840, 6.9840 and 6.9840 Å and the angles 90.00°, 90.00° and 90.00°. The asymmetric unit holds K at (0.0000, 0.0000, 0.0000), Ge at (0.2500, 0.2500, 0.7500) and Pd at (0.2500, 0.2500, 0.2500).

Computed, not measured: a relaxed structure of PrAsPbO at the PBE-GGA level of DFT.

The calculation puts the energy above the most stable polymorph in this dataset at 142 meV/atom.

The structure belongs to space group Pmc2_1 (No. 26); the cell edges are 5.2504, 6.2761 and 6.5668 Å and the angles 90.00°, 90.00° and 90.00°. The asymmetric unit holds Pr at (0.0000, 0.1725, 0.0000), As at (0.5000, 0.2800, 0.8138), Pb at (0.5000, 0.2467, 0.3855) and O at (0.0000, 0.1439, 0.3447).

Computed, not measured: a relaxed structure of ScZn2As at the PBE-GGA level of DFT.

The electronic total energy is -3.567 eV/atom.

The structure belongs to space group F-43m (No. 216); the cell edges are 6.6017, 6.6017 and 6.6017 Å and the angles 90.00°, 90.00° and 90.00°. The asymmetric unit holds Sc at (0.0000, 0.0000, 0.0000), Zn at (0.0000, 0.0000, 0.5000), Zn at (0.2500, 0.2500, 0.7500) and As at (0.2500, 0.2500, 0.2500).

Computed, not measured: a relaxed structure of KNa3P2Pt2 at the PBE-GGA level of DFT.

The electronic total energy is -3.967 eV/atom.

The structure belongs to space group Pm (No. 6); the cell edges are 5.6730, 5.6300 and 5.7704 Å and the angles 90.00°, 105.30° and 90.00°. The asymmetric unit holds K at (0.0000, 0.0000, 0.0000), Na at (0.3005, 0.5000, 0.3053), Na at (0.6359, 0.0000, 0.3452), Na at (0.9338, 0.5000, 0.6409), P at (0.2026, 0.0000, 0.5543), P at (0.7180, 0.5000, 0.0956) and Pt at (0.4724, 0.2568, 0.7988).

Computed, not measured: a relaxed structure of ZnSbAsO at the PBE-GGA level of DFT.

The calculation puts the energy above the most stable polymorph in this dataset at 455 meV/atom.

The structure belongs to space group P4/nmm (No. 129, origin choice 2); the cell edges are 4.3211, 4.3211 and 9.1259 Å and the angles 90.00°, 90.00° and 90.00°. The asymmetric unit holds Zn at (0.2500, 0.2500, 0.0020), Sb at (0.2500, 0.7500, 0.5000), As at (0.2500, 0.2500, 0.7050) and O at (0.2500, 0.7500, 0.0000).

Computed, not measured: a relaxed structure of LuFe2Cu at the PBE-GGA level of DFT.

As for the formation enthalpy at 0 K: 116.3 meV/atom.

The structure belongs to space group F-43m (No. 216); the cell edges are 6.2004, 6.2004 and 6.2004 Å and the angles 90.00°, 90.00° and 90.00°. The asymmetric unit holds Lu at (0.0000, 0.0000, 0.0000), Fe at (0.0000, 0.0000, 0.5000), Fe at (0.2500, 0.2500, 0.2500) and Cu at (0.2500, 0.2500, 0.7500).